Entry 1:
VASP calculation (GGA-PBE) on a relaxed structure of Sm2ScGaC.

DFT formation energy = -200 kJ/mol of formula units
DOS(E_F) = 0.368 states/eV per atom
V = 22.7 Å³ per atom
total moment = 0.00 μB per cell
total DFT energy (no corrections) = -30.095 eV/cell

CIF file:
```
data_Sm2ScGaC
_chemical_formula_sum 'Sm2 Sc1 Ga1 C1'
_cell_length_a 5.033
_cell_length_b 5.033
_cell_length_c 4.491
_cell_angle_alpha 90.00
_cell_angle_beta 90.00
_cell_angle_gamma 90.00
_space_group_name_H-M_alt 'P 4/m m m'
_space_group_IT_number 123
_space_group_name_Hall '-P 4 2'
loop_
_atom_site_label
_atom_site_fract_x
_atom_site_fract_y
_atom_site_fract_z
Sm1 0.000 0.500 0.000
Sc1 0.000 0.000 0.500
Ga1 0.500 0.500 0.500
C1 0.000 0.000 0.000
```

Entry 2:
VASP calculation (GGA-PBE) on a relaxed structure of Sc4GaSnC.

DFT formation energy = -410 kJ/mol of formula units
DOS(E_F) = 0.718 states/eV per atom
V = 20.6 Å³ per atom
total moment = 0.00 μB per cell
total DFT energy (no corrections) = -183.322 eV/cell

CIF file:
```
data_Sc4GaSnC
_chemical_formula_sum 'Sc16 Ga4 Sn4 C4'
_cell_length_a 6.277
_cell_length_b 14.623
_cell_length_c 6.281
_cell_angle_alpha 90.00
_cell_angle_beta 90.00
_cell_angle_gamma 90.00
_space_group_name_H-M_alt 'C m c m'
_space_group_IT_number 63
_space_group_name_Hall '-C 2c 2'
loop_
_atom_site_label
_atom_site_fract_x
_atom_site_fract_y
_atom_site_fract_z
Sc1 0.000 0.087 0.250
Sc2 0.000 0.406 0.250
Sc3 0.250 0.250 0.000
Ga1 0.000 0.115 0.750
Sn1 0.000 0.392 0.750
C1 0.000 0.248 0.250
```

Entry 3:
VASP calculation (GGA-PBE) on a relaxed structure of Sc2GaSnC.

DFT formation energy = -186 kJ/mol of formula units
DOS(E_F) = 0.414 states/eV per atom
V = 17.8 Å³ per atom
total moment = 0.00 μB per cell
total DFT energy (no corrections) = -30.840 eV/cell

CIF file:
```
data_Sc2GaSnC
_chemical_formula_sum 'Sc2 Ga1 Sn1 C1'
_cell_length_a 4.586
_cell_length_b 4.586
_cell_length_c 4.221
_cell_angle_alpha 90.00
_cell_angle_beta 90.00
_cell_angle_gamma 90.00
_space_group_name_H-M_alt 'P 4/m m m'
_space_group_IT_number 123
_space_group_name_Hall '-P 4 2'
loop_
_atom_site_label
_atom_site_fract_x
_atom_site_fract_y
_atom_site_fract_z
Sc1 0.000 0.500 0.000
Ga1 0.000 0.000 0.500
Sn1 0.500 0.500 0.500
C1 0.000 0.000 0.000
```

Entry 4:
VASP calculation (GGA-PBE) on a relaxed structure of SrScGaC2.

DFT formation energy = 502 kJ/mol of formula units
DOS(E_F) = 0.794 states/eV per atom
V = 19.6 Å³ per atom
total moment = 0.00 μB per cell
total DFT energy (no corrections) = -24.282 eV/cell

CIF file:
```
data_SrScGaC2
_chemical_formula_sum 'Sr1 Sc1 Ga1 C2'
_cell_length_a 4.435
_cell_length_b 4.435
_cell_length_c 4.975
_cell_angle_alpha 90.00
_cell_angle_beta 90.00
_cell_angle_gamma 90.00
_space_group_name_H-M_alt 'P 4/m m m'
_space_group_IT_number 123
_space_group_name_Hall '-P 4 2'
loop_
_atom_site_label
_atom_site_fract_x
_atom_site_fract_y
_atom_site_fract_z
Sr1 0.000 0.000 0.000
Sc1 0.500 0.500 0.500
Ga1 0.500 0.500 0.000
C1 0.000 0.500 0.500
```

Entry 5:
VASP calculation (GGA-PBE) on a relaxed structure of Sc2TaGaC.

DFT formation energy = -231 kJ/mol of formula units
DOS(E_F) = 0.583 states/eV per atom
V = 16.9 Å³ per atom
total moment = 0.00 μB per cell
total DFT energy (no corrections) = -39.157 eV/cell

CIF file:
```
data_Sc2TaGaC
_chemical_formula_sum 'Sc2 Ta1 Ga1 C1'
_cell_length_a 4.444
_cell_length_b 4.444
_cell_length_c 4.290
_cell_angle_alpha 90.00
_cell_angle_beta 90.00
_cell_angle_gamma 90.00
_space_group_name_H-M_alt 'P 4/m m m'
_space_group_IT_number 123
_space_group_name_Hall '-P 4 2'
loop_
_atom_site_label
_atom_site_fract_x
_atom_site_fract_y
_atom_site_fract_z
Sc1 0.000 0.500 0.000
Ta1 0.000 0.000 0.500
Ga1 0.500 0.500 0.500
C1 0.000 0.000 0.000
```

Entry 6:
VASP calculation (GGA-PBE) on a relaxed structure of Sc2GaTcC.

DFT formation energy = -250 kJ/mol of formula units
DOS(E_F) = 0.345 states/eV per atom
V = 16.2 Å³ per atom
total moment = 0.00 μB per cell
total DFT energy (no corrections) = -37.868 eV/cell

CIF file:
```
data_Sc2GaTcC
_chemical_formula_sum 'Sc2 Ga1 Tc1 C1'
_cell_length_a 4.510
_cell_length_b 4.510
_cell_length_c 3.974
_cell_angle_alpha 90.00
_cell_angle_beta 90.00
_cell_angle_gamma 90.00
_space_group_name_H-M_alt 'P 4/m m m'
_space_group_IT_number 123
_space_group_name_Hall '-P 4 2'
loop_
_atom_site_label
_atom_site_fract_x
_atom_site_fract_y
_atom_site_fract_z
Sc1 0.000 0.500 0.000
Ga1 0.000 0.000 0.500
Tc1 0.500 0.500 0.500
C1 0.500 0.500 0.000
```